MgGa2Pd2 | PBE-GGA | optimized geometry

The energy of formation is -43.83 kJ per mole of atoms. As for the energy above the most stable polymorph in this dataset: 13.48 kJ per mole of atoms. For the density of states at the Fermi level, the calculation gives 2.0 states/eV/cell. The crystal system is tetragonal.

a b c (Å): 4.1135 4.1135 6.0625
angles (deg): 70.17 70.17 90.00
With the nearest neighbours (Å) after each atom.
Positions (direct):
Pd  0.7500  0.2500  0.5000  4 Ga 2.51
Ga  0.3855  0.3855  0.2289  1 Ga 2.44, 4 Pd 2.51
Mg  0.0000  0.0000  0.0000  8 Ga 3.15, 8 Pd 3.36
Pd  0.2500  0.7500  0.5000  4 Ga 2.51
Ga  0.6145  0.6145  0.7711  1 Ga 2.44, 4 Pd 2.51